--- one ---
GGA-PBE SrLi2Mg9, relaxed; Fermi-level density of states = 9.64 states/eV/cell
1.0
-6.119 6.119 3.957
6.119 -6.119 3.957
6.119 6.119 -3.957
Sr Li Mg
2 4 18
direct
0.375 0.625 0.750 Sr
0.625 0.375 0.250 Sr
0.000 0.000 0.000 Li
0.000 0.000 0.500 Li
0.000 0.500 0.000 Li
0.500 0.000 0.500 Li
0.125 0.875 0.250 Mg
0.140 0.563 0.331 Mg
0.140 0.809 0.577 Mg
0.191 0.268 0.331 Mg
0.191 0.860 0.923 Mg
0.268 0.191 0.831 Mg
0.268 0.437 0.077 Mg
0.437 0.268 0.577 Mg
0.437 0.860 0.169 Mg
0.563 0.140 0.831 Mg
0.563 0.732 0.423 Mg
0.732 0.563 0.923 Mg
0.732 0.809 0.169 Mg
0.809 0.140 0.077 Mg
0.809 0.732 0.669 Mg
0.860 0.191 0.423 Mg
0.860 0.437 0.669 Mg
0.875 0.125 0.750 Mg


--- two ---
GGA-PBE SrLi2Mg9, relaxed; Fermi-level density of states = 5.62 states/eV/cell
1.0
9.950 0.000 0.000
-4.975 8.617 0.000
0.000 0.000 3.401
Sr Li Mg
1 2 9
direct
0.000 0.000 0.000 Sr
0.333 0.667 0.000 Li
0.667 0.333 0.000 Li
0.000 0.500 0.000 Mg
0.187 0.373 0.500 Mg
0.187 0.813 0.500 Mg
0.373 0.187 0.500 Mg
0.500 0.000 0.000 Mg
0.500 0.500 0.000 Mg
0.627 0.813 0.500 Mg
0.813 0.187 0.500 Mg
0.813 0.627 0.500 Mg


Quick look at relative energies in meV per atom: one 0; two 47.


--- one ---
GGA-PBE Sr6LiMg, relaxed; Fermi-level density of states = 9.53 states/eV/cell
1.0
-2.999 2.999 10.258
2.999 -2.999 10.258
2.999 2.999 -10.258
Sr Li Mg
6 1 1
direct
0.100 0.600 0.500 Sr
0.250 0.250 0.000 Sr
0.400 0.900 0.500 Sr
0.600 0.100 0.500 Sr
0.750 0.750 0.000 Sr
0.900 0.400 0.500 Sr
0.000 0.000 0.000 Li
0.500 0.500 0.000 Mg


--- two ---
GGA-PBE Sr6LiMg, relaxed; Fermi-level density of states = 10.18 states/eV/cell
1.0
8.096 0.000 0.000
-4.039 7.024 0.000
-4.034 -2.351 7.303
Sr Li Mg
6 1 1
direct
0.007 0.065 0.252 Sr
0.309 0.744 0.252 Sr
0.312 0.556 0.748 Sr
0.688 0.444 0.252 Sr
0.691 0.256 0.748 Sr
0.993 0.935 0.748 Sr
0.500 0.500 0.500 Li
0.500 0.000 0.000 Mg


Quick look at relative energies in meV per atom: one 0; two 172.


--- one ---
GGA-PBE Sr3LiMg, relaxed; Fermi-level density of states = 6.29 states/eV/cell
1.0
6.193 0.000 0.000
0.000 6.193 0.000
0.000 0.000 6.193
Sr Li Mg
3 1 1
direct
0.000 0.000 0.500 Sr
0.000 0.500 0.000 Sr
0.500 0.000 0.000 Sr
0.000 0.000 0.000 Li
0.500 0.500 0.500 Mg


--- two ---
GGA-PBE Sr3LiMg, relaxed; Fermi-level density of states = 11.04 states/eV/cell
1.0
2.975 -11.486 0.000
2.975 11.486 0.000
0.000 0.000 5.958
Sr Li Mg
6 2 2
direct
0.067 0.933 0.750 Sr
0.250 0.750 0.750 Sr
0.432 0.568 0.750 Sr
0.568 0.432 0.250 Sr
0.750 0.250 0.250 Sr
0.933 0.067 0.250 Sr
0.342 0.658 0.250 Li
0.658 0.342 0.750 Li
0.157 0.843 0.250 Mg
0.843 0.157 0.750 Mg


Quick look at relative energies in meV per atom: one 291; two 0.


--- one ---
GGA-PBE SrLiMgTl2, relaxed; Fermi-level density of states = 3.24 states/eV/cell
1.0
5.227 0.000 0.000
0.000 5.227 0.000
0.000 0.000 5.125
Sr Li Mg Tl
1 1 1 2
direct
0.000 0.000 0.000 Sr
0.500 0.500 0.500 Li
0.500 0.500 0.000 Mg
0.000 0.500 0.500 Tl
0.500 0.000 0.500 Tl


--- two ---
GGA-PBE SrLiMgTl2, relaxed; Fermi-level density of states = 4.94 states/eV/cell
1.0
5.749 0.000 0.000
0.000 7.012 0.000
0.000 0.000 6.846
Sr Li Mg Tl
2 2 2 4
direct
0.250 0.000 0.222 Sr
0.750 0.000 0.778 Sr
0.000 0.500 0.000 Li
0.500 0.500 0.000 Li
0.250 0.500 0.371 Mg
0.750 0.500 0.629 Mg
0.250 0.249 0.727 Tl
0.250 0.751 0.727 Tl
0.750 0.249 0.273 Tl
0.750 0.751 0.273 Tl


Quick look at relative energies in meV per atom: one 97; two 0.


--- one ---
GGA-PBE LiMgTa3, relaxed; Fermi-level density of states = 6.50 states/eV/cell
1.0
4.482 0.000 0.000
0.000 4.482 0.000
0.000 0.000 4.482
Li Mg Ta
1 1 3
direct
0.000 0.000 0.000 Li
0.500 0.500 0.500 Mg
0.000 0.000 0.500 Ta
0.000 0.500 0.000 Ta
0.500 0.000 0.000 Ta


--- two ---
GGA-PBE LiMgTa3, relaxed; Fermi-level density of states = 8.47 states/eV/cell
1.0
4.792 0.000 0.000
0.000 4.792 0.000
0.000 0.000 4.792
Li Mg Ta
1 1 3
direct
0.000 0.000 0.000 Li
0.500 0.500 0.500 Mg
0.000 0.500 0.500 Ta
0.500 0.000 0.500 Ta
0.500 0.500 0.000 Ta


Quick look at relative energies in meV per atom: one 0; two 888.


--- one ---
GGA-PBE LiMg3Ta, relaxed; Fermi-level density of states = 4.10 states/eV/cell
1.0
5.496 0.000 0.000
0.000 5.496 0.000
0.000 0.000 5.496
Li Mg Ta
1 3 1
direct
0.000 0.000 0.000 Li
0.000 0.500 0.500 Mg
0.500 0.000 0.500 Mg
0.500 0.500 0.000 Mg
0.500 0.500 0.500 Ta


--- two ---
GGA-PBE LiMg3Ta, relaxed; Fermi-level density of states = 1.73 states/eV/cell
1.0
4.564 0.000 0.000
0.000 4.564 0.000
0.000 0.000 4.564
Li Mg Ta
1 3 1
direct
0.000 0.000 0.000 Li
0.000 0.000 0.500 Mg
0.000 0.500 0.000 Mg
0.500 0.000 0.000 Mg
0.500 0.500 0.500 Ta


Quick look at relative energies in meV per atom: one 342; two 0.


--- one ---
GGA-PBE LiTbMg3, relaxed; Fermi-level density of states = 5.64 states/eV/cell
1.0
3.340 0.000 0.000
0.002 8.010 0.000
0.001 2.900 9.006
Li Tb Mg
2 2 6
direct
0.000 0.000 0.000 Li
0.498 0.005 0.498 Li
0.000 0.628 0.590 Tb
0.500 0.376 0.908 Tb
0.000 0.181 0.227 Mg
0.000 0.187 0.679 Mg
0.001 0.601 0.108 Mg
0.500 0.824 0.270 Mg
0.501 0.403 0.391 Mg
0.502 0.817 0.821 Mg


--- two ---
GGA-PBE LiTbMg3, relaxed; Fermi-level density of states = 8.37 states/eV/cell
1.0
-3.469 4.912 3.481
3.469 -4.912 3.481
3.469 4.912 -3.481
Li Tb Mg
2 2 6
direct
0.000 0.000 0.000 Li
0.500 0.000 0.500 Li
0.280 0.530 0.750 Tb
0.720 0.470 0.250 Tb
0.225 0.975 0.250 Mg
0.238 0.000 0.738 Mg
0.238 0.500 0.238 Mg
0.762 0.000 0.262 Mg
0.762 0.500 0.762 Mg
0.775 0.025 0.750 Mg


Quick look at relative energies in meV per atom: one 0; two 136.


--- one ---
GGA-PBE Li2TbMg, relaxed; Fermi-level density of states = 3.15 states/eV/cell
1.0
5.275 0.000 0.000
0.000 5.275 0.000
0.000 0.000 3.322
Li Tb Mg
2 1 1
direct
0.000 0.500 0.000 Li
0.500 0.000 0.000 Li
0.000 0.000 0.500 Tb
0.500 0.500 0.500 Mg


--- two ---
GGA-PBE Li2TbMg, relaxed; Fermi-level density of states = 2.90 states/eV/cell
1.0
1.647 0.951 10.406
-1.647 0.951 10.406
0.000 -1.902 10.406
Li Tb Mg
2 1 1
direct
0.000 0.000 0.000 Li
0.177 0.177 0.177 Li
0.422 0.422 0.422 Tb
0.589 0.589 0.589 Mg


Quick look at relative energies in meV per atom: one 17; two 0.


--- one ---
GGA-PBE Li2Tb3Mg7, relaxed; Fermi-level density of states = 8.35 states/eV/cell
1.0
5.285 0.000 0.000
0.000 3.414 0.000
-1.440 0.000 16.522
Li Tb Mg
2 3 7
direct
0.209 0.000 0.293 Li
0.791 0.000 0.707 Li
0.000 0.000 0.000 Tb
0.286 0.500 0.641 Tb
0.714 0.500 0.359 Tb
0.074 0.500 0.166 Mg
0.239 0.000 0.458 Mg
0.421 0.000 0.835 Mg
0.500 0.500 0.000 Mg
0.579 0.000 0.165 Mg
0.761 0.000 0.542 Mg
0.926 0.500 0.834 Mg


--- two ---
GGA-PBE Li2Tb3Mg7, relaxed; Fermi-level density of states = 12.59 states/eV/cell
1.0
3.012 1.739 9.456
-3.012 1.739 9.456
0.000 -3.478 9.456
Li Tb Mg
2 3 7
direct
0.166 0.166 0.166 Li
0.834 0.834 0.834 Li
0.360 0.360 0.360 Tb
0.500 0.500 0.500 Tb
0.640 0.640 0.640 Tb
0.000 0.000 0.000 Mg
0.082 0.082 0.576 Mg
0.082 0.576 0.082 Mg
0.424 0.918 0.918 Mg
0.576 0.082 0.082 Mg
0.918 0.424 0.918 Mg
0.918 0.918 0.424 Mg


Quick look at relative energies in meV per atom: one 55; two 0.


--- one ---
GGA-PBE LiTbMg4, relaxed; Fermi-level density of states = 3.58 states/eV/cell
1.0
0.000 4.226 4.226
4.226 0.000 4.226
4.226 4.226 0.000
Li Tb Mg
1 1 4
direct
0.000 0.000 0.000 Li
0.250 0.250 0.250 Tb
0.125 0.625 0.625 Mg
0.625 0.125 0.625 Mg
0.625 0.625 0.125 Mg
0.625 0.625 0.625 Mg


--- two ---
GGA-PBE LiTbMg4, relaxed; Fermi-level density of states = 2.45 states/eV/cell
1.0
3.428 0.000 0.000
0.000 3.428 0.000
0.000 0.000 11.957
Li Tb Mg
1 1 4
direct
0.000 0.000 0.000 Li
0.500 0.500 0.500 Tb
0.000 0.000 0.305 Mg
0.000 0.000 0.695 Mg
0.500 0.500 0.142 Mg
0.500 0.500 0.858 Mg


--- three ---
GGA-PBE LiTbMg4, relaxed; Fermi-level density of states = 10.30 states/eV/cell
1.0
1.661 -9.301 0.000
1.661 9.301 0.000
0.000 0.000 9.310
Li Tb Mg
2 2 8
direct
0.245 0.755 0.750 Li
0.755 0.245 0.250 Li
0.100 0.900 0.250 Tb
0.900 0.100 0.750 Tb
0.080 0.920 0.750 Mg
0.325 0.675 0.026 Mg
0.325 0.675 0.474 Mg
0.500 0.500 0.000 Mg
0.500 0.500 0.500 Mg
0.675 0.325 0.526 Mg
0.675 0.325 0.974 Mg
0.920 0.080 0.250 Mg


Quick look at relative energies in meV per atom: one 85; two 0; three 54.


--- one ---
GGA-PBE Li2TbMg3, relaxed; Fermi-level density of states = 4.50 states/eV/cell
1.0
3.486 0.000 0.000
0.000 3.486 0.000
0.000 0.000 11.306
Li Tb Mg
2 1 3
direct
0.000 0.000 0.153 Li
0.000 0.000 0.847 Li
0.000 0.000 0.500 Tb
0.500 0.500 0.000 Mg
0.500 0.500 0.298 Mg
0.500 0.500 0.702 Mg


--- two ---
GGA-PBE Li2TbMg3, relaxed; Fermi-level density of states = 11.31 states/eV/cell
1.0
5.021 0.000 0.000
-2.510 4.348 0.000
0.000 0.000 12.982
Li Tb Mg
4 2 6
direct
0.333 0.667 0.113 Li
0.333 0.667 0.387 Li
0.667 0.333 0.613 Li
0.667 0.333 0.887 Li
0.000 0.000 0.250 Tb
0.000 0.000 0.750 Tb
0.000 0.000 0.000 Mg
0.000 0.000 0.500 Mg
0.333 0.667 0.621 Mg
0.333 0.667 0.879 Mg
0.667 0.333 0.121 Mg
0.667 0.333 0.379 Mg


Quick look at relative energies in meV per atom: one 0; two 58.